1.
PBE CaU2Se4, optimized geometry; ρ = 7.24 Mg/m³; spin magnetization = 0.812 μB/atom; ΔE_f (raw) = -1.318 eV/atom; energy relative to the lowest polymorph listed for this composition = 0.00 kJ per mole of atoms; crystal system = orthorhombic; electronic total energy = -0.2506 hartree per atom; volume = 190.71 Å³/f.u.; N(E_F) = 9.79 states/eV/f.u.
1.0
-2.2642 -0.5805 3.2742
-3.3325 -3.1534 -5.3350
6.9575 -11.9177 2.6984
Ca U Se
2 4 8
direct
0.6102 0.2205 0.7500
0.3898 0.7795 0.2500
0.1359 0.2717 0.4341
0.8641 0.7283 0.9341
0.1359 0.2717 0.0659
0.8641 0.7283 0.5659
0.7776 0.5552 0.1227
0.7776 0.5552 0.3773
0.2224 0.4448 0.8773
0.2224 0.4448 0.6227
0.9525 0.9050 0.7500
0.0475 0.0950 0.2500
0.5000 0.0000 0.0000
0.5000 0.0000 0.5000

=====

2.
PBE BaPaPtO6, optimized geometry; ρ = 7.03 Mg/m³; spin magnetization = 0.000 μB/atom; ΔE_f (raw) = -2.119 eV/atom; crystal system = orthorhombic; electronic total energy = -0.2706 hartree per atom; volume = 155.67 Å³/f.u.; N(E_F) = 7.24 states/eV/f.u.
1.0
-5.1678 -5.9562 1.1201
4.6210 -4.6243 -3.2702
2.5382 4.2134 5.7981
Ba Pa Pt O
2 2 2 12
direct
0.8068 0.5568 0.6135
0.1932 0.4432 0.3865
0.5000 0.0000 0.5000
0.0000 0.0000 0.5000
0.5000 0.5000 0.0000
0.5000 0.0000 0.0000
0.4445 0.6945 0.8890
0.8345 0.0845 0.6689
0.8110 0.1138 0.2669
0.4559 0.6531 0.2669
0.4559 0.1138 0.2669
0.8110 0.6531 0.2669
0.5555 0.3055 0.1110
0.1655 0.9155 0.3311
0.1890 0.8862 0.7331
0.5441 0.3469 0.7331
0.5441 0.8862 0.7331
0.1890 0.3469 0.7331

=====

3.
PBE MoPdRu3, optimized geometry; ρ = 8.23 Mg/m³; spin magnetization = 0.396 μB/atom; energy of formation from the pure elements = 2.248 eV/atom; energy relative to the lowest polymorph listed for this composition = 61.86 kJ per mole of atoms; crystal system = cubic; electronic total energy = -0.2397 hartree per atom; volume = 101.99 Å³/f.u.; N(E_F) = 7.68 states/eV/f.u.
1.0
4.6721 0.0000 0.0000
0.0000 4.6721 0.0000
0.0000 0.0000 4.6721
Ru Mo Pd
3 1 1
direct
0.0000 0.5000 0.0000
0.0000 0.0000 0.5000
0.5000 0.0000 0.0000
0.5000 0.5000 0.5000
0.0000 0.0000 0.0000

=====

4.
PBE AlNi2Au, optimized geometry; ρ = 10.69 Mg/m³; spin magnetization = 0.000 μB/atom; energy of formation from the pure elements = -0.314 eV/atom; crystal system = tetragonal; electronic total energy = -0.1823 hartree per atom; volume = 53.00 Å³/f.u.; N(E_F) = 2.32 states/eV/f.u.
1.0
-1.2662 -2.9111 -3.2966
3.7575 -1.8987 -1.7949
-1.3785 0.4342 4.3425
Ni Au Al
2 1 1
direct
0.0002 0.0002 0.0000
0.7500 0.2500 0.5000
0.2500 0.7500 0.5000
0.4998 0.4998 0.0000

=====

5.
PBE Tm4GaCuRu2, optimized geometry; ρ = 10.55 Mg/m³; spin magnetization = 0.000 μB/atom; energy of formation from the pure elements = -0.444 eV/atom; crystal system = trigonal; electronic total energy = -0.2164 hartree per atom; volume = 159.21 Å³/f.u.; N(E_F) = 5.18 states/eV/f.u.
1.0
4.8292 0.0000 0.0000
2.4146 4.1822 0.0000
2.4146 1.3941 7.8828
Tm Ga Cu Ru
4 1 1 2
direct
0.3776 0.3776 0.8672
0.8729 0.8729 0.3814
0.1271 0.1271 0.6186
0.6224 0.6224 0.1328
0.0000 0.0000 0.0000
0.5000 0.5000 0.5000
0.7491 0.7491 0.7527
0.2509 0.2509 0.2473